(1)
{"formula": "CsNaZr3", "functional": "PBE-GGA", "state": "optimized geometry", "cell": [[5.5397, 0.0000, 0.0000], [0.0000, 5.5397, 0.0000], [0.0000, 0.0000, 5.5397]], "species": ["Zr", "Zr", "Zr", "Na", "Cs"], "frac_coords": [[0.0000, 0.5000, 0.0000], [0.0000, 0.0000, 0.5000], [0.5000, 0.0000, 0.0000], [0.0000, 0.0000, 0.0000], [0.5000, 0.5000, 0.5000]], "rho_g_cm3": 4.20, "e_above_lowest_polymorph_kj_per_mol_atoms": 0.0, "dos_at_fermi_per_ev_cell": 10.4}

---

(2)
{"formula": "CsNb4", "functional": "PBE-GGA", "state": "optimized geometry", "cell": [[-4.7740, 0.5291, -1.3273], [-1.3952, -2.7255, 3.9317], [-0.3085, 4.1382, 2.7592]], "species": ["Cs", "Nb", "Nb", "Nb", "Nb"], "frac_coords": [[0.5000, 0.5000, 0.5000], [0.0000, 0.0000, 0.0000], [0.0000, 0.5000, 0.5000], [0.5000, 0.0000, 0.5000], [0.5000, 0.5000, 0.0000]], "rho_g_cm3": 6.77, "e_tot_ev_per_cell": -27.11, "dos_at_fermi_per_ev_cell": 5.8}

---

(3)
{"formula": "Cs3NdNb2O8", "functional": "PBE-GGA", "state": "optimized geometry", "cell": [[-4.8526, -4.0128, 1.5571], [5.1348, -2.2365, -3.2721], [3.8851, -1.8435, 7.3568]], "species": ["O", "O", "O", "O", "O", "O", "O", "O", "Nd", "Cs", "Cs", "Cs", "Nb", "Nb"], "frac_coords": [[0.3333, 0.6667, 0.0500], [0.6538, 0.8269, 0.3364], [0.1731, 0.3462, 0.3364], [0.8269, 0.1731, 0.6636], [0.1731, 0.8269, 0.3364], [0.8269, 0.6538, 0.6636], [0.6667, 0.3333, 0.9500], [0.3462, 0.1731, 0.6636], [0.0000, 0.0000, 0.5000], [0.0000, 0.0000, 0.0000], [0.3333, 0.6667, 0.7139], [0.6667, 0.3333, 0.2861], [0.6667, 0.3333, 0.7359], [0.3333, 0.6667, 0.2641]], "rho_g_cm3": 4.58, "raw_formation_energy_ev_per_atom": -2.543, "dos_at_fermi_per_ev_cell": 0.0}

---

(4)
{"formula": "CsNd2Ti2NbO10", "functional": "PBE-GGA", "state": "optimized geometry", "cell": [[-2.1065, -0.4675, 3.2344], [-3.2377, -0.3234, -2.1283], [1.9901, -15.5105, -0.8367]], "species": ["O", "O", "O", "O", "O", "O", "O", "O", "O", "O", "Ti", "Ti", "Nd", "Nd", "Nb", "Cs"], "frac_coords": [[0.0038, 0.0038, 0.3923], [0.9967, 0.5010, 0.7535], [0.0202, 0.0202, 0.8790], [0.0331, 0.5186, 0.0085], [0.5186, 0.0331, 0.0085], [0.0169, 0.5110, 0.2450], [0.5110, 0.0169, 0.2450], [0.5010, 0.9967, 0.7535], [0.0288, 0.0288, 0.1268], [0.0032, 0.0032, 0.6093], [0.9995, 0.9995, 0.7180], [0.0010, 0.0010, 0.9984], [0.4859, 0.4859, 0.8456], [0.4755, 0.4755, 0.1266], [0.0045, 0.0045, 0.2777], [0.5042, 0.5042, 0.5121]], "rho_g_cm3": 5.40, "raw_formation_energy_ev_per_atom": -2.974, "dos_at_fermi_per_ev_cell": 0.0}

---

(5)
{"formula": "Cs3Nd3NbS8", "functional": "PBE-GGA", "state": "optimized geometry", "cell": [[-0.6372, 8.1103, 0.7734], [-5.6534, -4.8779, 3.3219], [8.3595, 0.2270, 4.5039]], "species": ["Nd", "Nd", "Nd", "S", "S", "S", "S", "S", "S", "S", "S", "Nb", "Cs", "Cs", "Cs"], "frac_coords": [[0.5000, 0.0000, 0.5000], [0.0000, 0.5000, 0.5000], [0.5000, 0.5000, 0.5000], [0.2089, 0.4179, 0.6743], [0.7911, 0.0345, 0.3258], [0.7566, 0.9655, 0.6742], [0.2434, 0.0345, 0.3258], [0.2703, 0.5407, 0.3111], [0.2089, 0.9655, 0.6742], [0.7911, 0.5821, 0.3257], [0.7297, 0.4593, 0.6889], [0.0000, 0.0000, 0.5000], [0.5000, 0.5000, 0.0000], [0.0000, 0.5000, 0.0000], [0.0000, 0.0000, 0.0000]], "rho_g_cm3": 4.11, "raw_formation_energy_ev_per_atom": -1.593, "dos_at_fermi_per_ev_cell": 5.2}

---

(6)
{"formula": "Cs3Nd3NbSe8", "functional": "PBE-GGA", "state": "optimized geometry", "cell": [[-0.6559, 7.7820, 3.2745], [-6.9640, -4.1980, -2.3681], [4.2181, -3.1596, 8.3542]], "species": ["Se", "Se", "Se", "Se", "Se", "Se", "Se", "Se", "Nd", "Nd", "Nd", "Cs", "Cs", "Cs", "Nb"], "frac_coords": [[0.7311, 0.4622, 0.6931], [0.7885, 0.0324, 0.3210], [0.7560, 0.9676, 0.6790], [0.7884, 0.5767, 0.3210], [0.2689, 0.5378, 0.3069], [0.2115, 0.9676, 0.6790], [0.2116, 0.4233, 0.6790], [0.2440, 0.0324, 0.3210], [0.5000, 0.5000, 0.5000], [0.5000, 0.0000, 0.5000], [0.0000, 0.5000, 0.5000], [0.0000, 0.5000, 0.0000], [0.5000, 0.5000, 0.0000], [0.0000, 0.0000, 0.0000], [0.0000, 0.0000, 0.5000]], "rho_g_cm3": 4.85, "raw_formation_energy_ev_per_atom": -1.482, "dos_at_fermi_per_ev_cell": 5.3}